Compound: Sm4AlNi
Source: Alexandria via LeMat-Bulk
Functional: PBE
Structure: relaxed

```
Sm4AlNi
1.0
8.352 0.000 4.822
2.784 7.875 4.822
0.000 0.000 9.644
Al Ni Sm
4 4 16
direct
0.175 0.175 0.474
0.175 0.474 0.175
0.474 0.175 0.175
0.175 0.175 0.175
0.177 0.608 0.608
0.608 0.177 0.608
0.608 0.608 0.177
0.608 0.608 0.608
0.556 0.944 0.944
0.186 0.814 0.186
0.944 0.556 0.944
0.186 0.814 0.814
0.186 0.186 0.814
0.400 0.800 0.400
0.814 0.186 0.186
0.944 0.556 0.556
0.814 0.186 0.814
0.556 0.556 0.944
0.944 0.944 0.556
0.814 0.814 0.186
0.800 0.400 0.400
0.556 0.944 0.556
0.400 0.400 0.400
0.400 0.400 0.800
```

Values from the calculation:
- Magnetic moment: 0.000 μB/cell
- ΔE_f: -0.27 eV/atom
- DFT total energy: -5.01 eV/atom
- DOS(E_F): 1.008 states/eV per atom
- Energy above the most stable polymorph in this dataset: 0.00 eV per formula unit